1.
The following is a PBE-GGA calculation of a relaxed Gd3S4 crystal, from Alexandria.

Computed properties:
The value obtained for the total energy is -0.3843 hartree per atom. The calculation puts the uncorrected formation energy at -2.064 eV/atom. As for the total moment: 81.0 μB/cell.

a b c (Å): 8.4225 8.4225 8.4225
angles (deg): 90.00 90.00 90.00
Space group I-43d (No. 220)
Symmetry-distinct sites (fractional):
Gd  0.0000  0.2500  0.3750 [12 per cell]
S  0.0723  0.0723  0.0723 [16 per cell]



2.
The following is a PBE-GGA calculation of a relaxed Gd2S3 crystal, from Alexandria.

Computed properties:
The value obtained for the total energy is -0.3744 hartree per atom. The calculation puts the uncorrected formation energy at -2.078 eV/atom. As for the total moment: 56.0 μB/cell.

a b c (Å): 7.3794 3.9481 15.3093
angles (deg): 90.00 90.00 90.00
Space group Pnma (No. 62)
Symmetry-distinct sites (fractional):
Gd  0.1414  0.2500  0.2052 [4 per cell]
Gd  0.2340  0.7500  0.4574 [4 per cell]
S  0.0104  0.2500  0.3919 [4 per cell]
S  0.1248  0.7500  0.0678 [4 per cell]
S  0.1497  0.2500  0.7813 [4 per cell]



Please write out number 1 again, unchanged.
The following is a PBE-GGA calculation of a relaxed Gd3S4 crystal, from Alexandria.

Computed properties:
The value obtained for the total energy is -0.3843 hartree per atom. The calculation puts the uncorrected formation energy at -2.064 eV/atom. As for the total moment: 81.0 μB/cell.

a b c (Å): 8.4225 8.4225 8.4225
angles (deg): 90.00 90.00 90.00
Space group I-43d (No. 220)
Symmetry-distinct sites (fractional):
Gd  0.0000  0.2500  0.3750 [12 per cell]
S  0.0723  0.0723  0.0723 [16 per cell]



Q: Which formula does entry 2 have?
A: Gd2S3



Q: Which value of uncorrected formation energy does entry 1 give?
A: -2.064 eV/atom